VASP calculation (PBE-GGA) on a relaxed KTb3Cl8 crystal.

Unit cell a=7.5919 b=7.5919 c=23.7848 alpha=90.00 beta=90.00 gamma=120.00
Space group R-3m (No. 166, hexagonal axes)
One atom of each set of equivalent atoms:
K 0.0000 0.0000 0.0000 (multiplicity 3)
Tb 0.0000 0.5000 0.5000 (multiplicity 9)
Cl 0.0000 0.0000 0.2385 (multiplicity 6)
Cl 0.0018 0.5009 0.7662 (multiplicity 18)

Summary:
Uncorrected energy, eV/f.u.: -54.3
Theoretical density, kg/m³: 3355
Density of states at the Fermi level, states/eV/f.u.: 4.56
E_form (uncorrected), meV/atom: -2046